[1]
The following is a PBE+U calculation of a relaxed AcCrGeO5 crystal, from Alexandria.

Summary:
As for the volume: 493.7 Å³/cell. Its total energy is -7.23 eV per atom.

abc: 6.6910 8.8029 8.7592
angles: 90.00 106.89 90.00
Space group C2/c (No. 15)
Asymmetric unit:
Ac 0.0000 0.0000 0.0000 (multiplicity 4)
Cr 0.0000 0.3497 0.2500 (multiplicity 4)
Ge 0.0000 0.3201 0.7500 (multiplicity 4)
O 0.0000 0.1412 0.2500 (multiplicity 4)
O 0.1115 0.4602 0.8963 (multiplicity 8)
O 0.1810 0.1799 0.7217 (multiplicity 8)

[2]
The following is a PBE+U calculation of a relaxed AcCrGe2O8 crystal, from Alexandria.

Summary:
As for the volume: 447.4 Å³/cell. Its total energy is -6.84 eV per atom.

abc: 4.9280 4.9280 21.2727
angles: 90.00 90.00 120.00
Space group R-3 (No. 148, hexagonal axes)
Asymmetric unit:
Ac 0.0000 0.0000 0.0000 (multiplicity 3)
Cr 0.0000 0.0000 0.5000 (multiplicity 3)
Ge 0.0000 0.0000 0.2368 (multiplicity 6)
O 0.0000 0.0000 0.3198 (multiplicity 6)
O 0.0103 0.6524 0.2192 (multiplicity 18)

[3]
The following is a PBE+U calculation of a relaxed AcCr2GeO8 crystal, from Alexandria.

Summary:
As for the volume: 164.1 Å³/cell. Its total energy is -7.09 eV per atom.

abc: 5.2168 5.2168 6.9620
angles: 90.00 90.00 120.00
Space group P-3 (No. 147)
Asymmetric unit:
Ac 0.0000 0.0000 0.0000 (multiplicity 1)
Cr 0.3333 0.6667 0.7246 (multiplicity 2)
Ge 0.0000 0.0000 0.5000 (multiplicity 1)
O 0.0431 0.3022 0.6720 (multiplicity 6)
O 0.3333 0.6667 0.9717 (multiplicity 2)

[4]
The following is a PBE+U calculation of a relaxed AcCr2GeO6 crystal, from Alexandria.

Summary:
As for the volume: 124.2 Å³/cell. Its total energy is -7.44 eV per atom.

abc: 5.3158 5.3820 5.7051
angles: 115.08 90.08 119.37
Space group P1 (No. 1)
Asymmetric unit:
Ac 0.0000 0.0000 0.0000 (multiplicity 1)
Cr 0.2674 0.5127 0.7865 (multiplicity 1)
Cr 0.7671 0.5426 0.3390 (multiplicity 1)
Ge 0.4524 0.9132 0.3902 (multiplicity 1)
O 0.0619 0.6541 0.1200 (multiplicity 1)
O 0.1750 0.7108 0.5752 (multiplicity 1)
O 0.4548 0.5167 0.1169 (multiplicity 1)
O 0.5094 0.3503 0.5633 (multiplicity 1)
O 0.6045 0.0702 0.1384 (multiplicity 1)
O 0.8094 0.9947 0.5680 (multiplicity 1)

[5]
The following is a PBE+U calculation of a relaxed AcCrGeO6 crystal, from Alexandria.

Summary:
As for the volume: 238.2 Å³/cell. Its total energy is -7.17 eV per atom.

abc: 5.0724 5.0724 10.6880
angles: 90.00 90.00 120.00
Space group P-31c (No. 163)
Asymmetric unit:
Ac 0.0000 0.0000 0.0000 (multiplicity 2)
Cr 0.3333 0.6667 0.2500 (multiplicity 2)
Ge 0.3333 0.6667 0.7500 (multiplicity 2)
O 0.0028 0.3942 0.1486 (multiplicity 12)